A plane-wave DFT calculation with PBE was carried out for an optimized crystal structure of Pm4TlSbSe2.

Computed properties:
Energy relative to the elements, uncorrected ... -1.28 eV per atom
Calculated volume ... 29.15 A^3/atom
Spin magnetization ... 0.0 μB per cell
N(E_F) ... 0.395 states/eV/atom

Geometry as POSCAR:
```
Pm4TlSbSe2
1.0
-3.321 -2.216 1.552
3.731 -0.989 6.574
-1.671 5.727 4.605
Pm Tl Sb Se
4 1 1 2
Direct
0.000 0.765 0.742
0.500 0.239 0.753
0.000 0.235 0.258
0.500 0.761 0.247
0.500 0.500 0.000
0.000 0.500 0.500
0.500 0.000 0.500
0.000 0.000 0.000
```